Entry 1:
# RbPNF2

RbPNF2 after structural relaxation (PBE, Alexandria).

Calculated values
Crystal system   tetragonal

Lattice parameters (Å, degrees): 5.2957 5.2957 5.5855 90.00 90.00 90.00
Sites, in units of the cell vectors:
P 0.5000 0.5000 0.5000
N 0.0000 0.0000 0.5000
Rb 0.0000 0.0000 0.0000
F 0.0000 0.5000 0.0000
F 0.5000 0.0000 0.0000

---

Entry 2:
# PRuN2F

PRuN2F after structural relaxation (PBE, Alexandria).

Calculated values
Crystal system   tetragonal

Lattice parameters (Å, degrees): 3.8826 3.8826 4.0586 90.00 90.00 90.00
Sites, in units of the cell vectors:
Ru 0.0000 0.0000 0.0000
N 0.0000 0.5000 0.0000
N 0.5000 0.0000 0.0000
F 0.0000 0.0000 0.5000
P 0.5000 0.5000 0.5000

---

Entry 3:
# PRuN2F

PRuN2F after structural relaxation (PBE, Alexandria).

Calculated values
Crystal system   tetragonal

Lattice parameters (Å, degrees): 3.6291 3.6291 3.6456 90.00 90.00 90.00
Sites, in units of the cell vectors:
Ru 0.5000 0.5000 0.5000
N 0.0000 0.5000 0.0000
N 0.5000 0.0000 0.0000
F 0.0000 0.0000 0.5000
P 0.0000 0.0000 0.0000

---

Entry 4:
# PSN2F

PSN2F after structural relaxation (PBE, Alexandria).

Calculated values
Crystal system   tetragonal

Lattice parameters (Å, degrees): 3.2700 3.2700 5.4591 90.00 90.00 90.00
Sites, in units of the cell vectors:
P 0.0000 0.0000 0.0000
S 0.0000 0.0000 0.5000
N 0.0000 0.5000 0.0000
N 0.5000 0.0000 0.0000
F 0.5000 0.5000 0.5000

---

Entry 5:
# PSN2F

PSN2F after structural relaxation (PBE, Alexandria).

Calculated values
Crystal system   tetragonal

Lattice parameters (Å, degrees): 3.6492 3.6492 6.2697 90.00 90.00 90.00
Sites, in units of the cell vectors:
P 0.5000 0.5000 0.5000
S 0.0000 0.0000 0.5000
N 0.0000 0.5000 0.0000
N 0.5000 0.0000 0.0000
F 0.0000 0.0000 0.0000

---

Entry 6:
# PS2NF

PS2NF after structural relaxation (PBE, Alexandria).

Calculated values
Crystal system   tetragonal

Lattice parameters (Å, degrees): 4.5094 4.5094 3.7176 90.00 90.00 90.00
Sites, in units of the cell vectors:
P 0.5000 0.5000 0.5000
S 0.0000 0.5000 0.0000
S 0.5000 0.0000 0.0000
N 0.0000 0.0000 0.5000
F 0.0000 0.0000 0.0000

---

Entry 7:
# PS2NF

PS2NF after structural relaxation (PBE, Alexandria).

Calculated values
Crystal system   tetragonal

Lattice parameters (Å, degrees): 4.8866 4.8866 3.7863 90.00 90.00 90.00
Sites, in units of the cell vectors:
P 0.0000 0.0000 0.5000
S 0.0000 0.5000 0.0000
S 0.5000 0.0000 0.0000
N 0.5000 0.5000 0.5000
F 0.0000 0.0000 0.0000

---

Entry 8:
# PS2NF

PS2NF after structural relaxation (PBE, Alexandria).

Calculated values
Crystal system   tetragonal

Lattice parameters (Å, degrees): 4.0264 4.0264 4.2105 90.00 90.00 90.00
Sites, in units of the cell vectors:
P 0.0000 0.0000 0.5000
S 0.0000 0.5000 0.0000
S 0.5000 0.0000 0.0000
N 0.0000 0.0000 0.0000
F 0.5000 0.5000 0.5000

---

Entry 9:
# PSN2F

PSN2F after structural relaxation (PBE, Alexandria).

Calculated values
Crystal system   tetragonal

Lattice parameters (Å, degrees): 3.7183 3.7183 3.8604 90.00 90.00 90.00
Sites, in units of the cell vectors:
P 0.5000 0.5000 0.5000
S 0.0000 0.0000 0.0000
N 0.0000 0.5000 0.0000
N 0.5000 0.0000 0.0000
F 0.0000 0.0000 0.5000

---

Entry 10:
# PS2NF

PS2NF after structural relaxation (PBE, Alexandria).

Calculated values
Crystal system   tetragonal

Lattice parameters (Å, degrees): 4.6939 4.6939 3.1707 90.00 90.00 90.00
Sites, in units of the cell vectors:
P 0.0000 0.0000 0.0000
S 0.0000 0.5000 0.0000
S 0.5000 0.0000 0.0000
N 0.0000 0.0000 0.5000
F 0.5000 0.5000 0.5000

---

Entry 11:
# PSN2F

PSN2F after structural relaxation (PBE, Alexandria).

Calculated values
Crystal system   tetragonal

Lattice parameters (Å, degrees): 3.6115 3.6115 3.6546 90.00 90.00 90.00
Sites, in units of the cell vectors:
P 0.0000 0.0000 0.0000
S 0.5000 0.5000 0.5000
N 0.0000 0.5000 0.0000
N 0.5000 0.0000 0.0000
F 0.0000 0.0000 0.5000

---

Entry 12:
# SbPNF2

SbPNF2 after structural relaxation (PBE, Alexandria).

Calculated values
Crystal system   tetragonal

Lattice parameters (Å, degrees): 4.3168 4.3168 4.3083 90.00 90.00 90.00
Sites, in units of the cell vectors:
Sb 0.0000 0.0000 0.0000
N 0.0000 0.0000 0.5000
F 0.0000 0.5000 0.0000
F 0.5000 0.0000 0.0000
P 0.5000 0.5000 0.5000

---

Entry 13:
# SbPNF2

SbPNF2 after structural relaxation (PBE, Alexandria).

Calculated values
Crystal system   tetragonal

Lattice parameters (Å, degrees): 4.7563 4.7563 3.2623 90.00 90.00 90.00
Sites, in units of the cell vectors:
Sb 0.5000 0.5000 0.5000
N 0.0000 0.0000 0.5000
F 0.0000 0.5000 0.0000
F 0.5000 0.0000 0.0000
P 0.0000 0.0000 0.0000

---

Entry 14:
# ScPNF2

ScPNF2 after structural relaxation (PBE, Alexandria).

Calculated values
Crystal system   tetragonal

Lattice parameters (Å, degrees): 4.4493 4.4493 3.3754 90.00 90.00 90.00
Sites, in units of the cell vectors:
Sc 0.5000 0.5000 0.5000
P 0.0000 0.0000 0.0000
N 0.0000 0.0000 0.5000
F 0.0000 0.5000 0.0000
F 0.5000 0.0000 0.0000

---

no.,spin magnetization (μB/f.u.),formation energy from raw total energies (meV per atom),ΔE to the lowest computed polymorph (meV per atom)
1,4.99,762,1904
2,0.84,873,18
3,1.79,855,0
4,0.00,717,0
5,3.01,2291,1574
6,1.39,1785,1074
7,2.40,1910,1200
8,0.00,1039,329
9,0.00,1441,724
10,0.71,710,0
11,0.00,863,146
12,1.74,22,248
13,0.00,-226,0
14,0.00,-802,430